Computed, not measured: a relaxed KRbZnSe2 crystal at the GGA-PBE level of DFT.

Computed properties:
raw formation energy = -0.7340 eV per atom

Lattice parameters (Å, degrees): 5.6676 8.1081 7.0618 90.00 90.00 90.00
Last column: nearest neighbours and their distance in Å.
Space group Pmma (No. 51)
Symmetry-distinct sites (fractional):
K 0.2500 0.0000 0.0911  2 K 3.11, 2 Zn 3.22, 2 Se 3.35
Rb 0.2500 0.5000 0.3022  6 Se 3.55-3.64, 2 Rb 3.98
Zn 0.0000 0.0000 0.5000  4 Se 2.62, 2 Zn 2.83
Se 0.2500 0.2178 0.6875  2 Zn 2.62